No. 1
# AcPm4Er

An optimized crystal structure of AcPm4Er (PBE, Alexandria).

Output
DFT formation energy in eV per atom: 0.174
Symmetry: C2/c (15)
M_tot in μB per formula unit: 0.0

CIF file:
```
data_AcPm4Er
_symmetry_space_group_name_H-M 'P 1'
_symmetry_Int_Tables_number 1
_cell_length_a 9.323
_cell_length_b 6.013
_cell_length_c 10.654
_cell_angle_alpha 90.00
_cell_angle_beta 104.81
_cell_angle_gamma 130.14
loop_
_symmetry_equiv_pos_as_xyz
'x,y,z'
loop_
_atom_site_label
_atom_site_fract_x
_atom_site_fract_y
_atom_site_fract_z
Ac1 0.446 0.196 0.893
Ac2 0.554 0.804 0.107
Pm1 0.454 0.704 0.419
Pm2 0.644 0.893 0.772
Pm3 0.035 0.785 0.581
Pm4 0.871 0.620 0.228
Pm5 0.546 0.296 0.581
Pm6 0.965 0.215 0.419
Pm7 0.356 0.107 0.228
Pm8 0.129 0.380 0.772
Er1 0.950 0.700 0.899
Er2 0.050 0.300 0.101
```

No. 2
# AcPm4Er3

An optimized crystal structure of AcPm4Er3 (PBE, Alexandria).

Output
DFT formation energy in eV per atom: 0.091
Symmetry: Immm (71)
M_tot in μB per formula unit: 0.0

CIF file:
```
data_AcPm4Er3
_symmetry_space_group_name_H-M 'P 1'
_symmetry_Int_Tables_number 1
_cell_length_a 3.765
_cell_length_b 5.911
_cell_length_c 12.889
_cell_angle_alpha 103.26
_cell_angle_beta 98.39
_cell_angle_gamma 90.00
loop_
_symmetry_equiv_pos_as_xyz
'x,y,z'
loop_
_atom_site_label
_atom_site_fract_x
_atom_site_fract_y
_atom_site_fract_z
Ac1 0.000 0.500 0.000
Er1 0.500 0.000 0.000
Er2 0.734 0.234 0.468
Er3 0.266 0.766 0.532
Pm1 0.642 0.642 0.284
Pm2 0.358 0.358 0.716
Pm3 0.886 0.886 0.772
Pm4 0.114 0.114 0.228
```